VASP calculation (GGA-PBE) on ScSnAsSe2 after structural relaxation.

Properties
- Polymorph energy (0 for the lowest one): 501 meV/atom
- Raw total energy: -21.017 eV/cell
- Energy relative to the elements, uncorrected: 187.2 meV/atom

a b c (Å): 5.2175 5.2175 5.1511
angles (deg): 90.00 90.00 90.00
Fractional positions:
Sc: 0.0000 0.0000 0.0000
Sn: 0.5000 0.5000 0.5000
As: 0.5000 0.5000 0.0000
Se: 0.0000 0.5000 0.5000
Se: 0.5000 0.0000 0.5000



VASP calculation (GGA-PBE) on KMnRu after structural relaxation.

Properties
- Polymorph energy (0 for the lowest one): 264 meV/atom
- Energy of formation: 0.97 eV per atom
- Raw total energy: -16.645 eV/cell

a b c (Å): 3.9076 3.9076 5.7881
angles (deg): 90.00 90.00 120.00
Fractional positions:
K: 0.0000 0.0000 0.0000
Mn: 0.6667 0.3333 0.5094
Ru: 0.3333 0.6667 0.4913



VASP calculation (GGA-PBE) on SrAg2Os after structural relaxation.

Properties
- Polymorph energy (0 for the lowest one): 41 meV/atom
- Energy of formation: 0.64 eV per atom
- Raw total energy: -16.047 eV/cell

a b c (Å): 5.1833 5.1833 5.7015
angles (deg): 97.91 97.91 32.45
Fractional positions:
Sr: 0.0000 0.0000 0.0000
Ag: 0.5059 0.5059 0.5168
Ag: 0.7617 0.7617 0.2887
Os: 0.2464 0.2464 0.7090



VASP calculation (GGA-PBE) on Nd2Dy3ScSe6 after structural relaxation.

Properties
- Raw total energy: -71.438 eV/cell
- Energy relative to the elements, uncorrected: -1738.1 meV/atom

a b c (Å): 9.1534 9.1534 8.2497
angles (deg): 102.87 102.87 25.76
Fractional positions:
Nd: 0.1679 0.1679 0.3350
Nd: 0.8321 0.8321 0.6650
Dy: 0.1723 0.1723 0.8356
Dy: 0.5000 0.5000 0.5000
Dy: 0.8277 0.8277 0.1644
Sc: 0.5000 0.5000 0.0000
Se: 0.0048 0.0048 0.7619
Se: 0.3375 0.3375 0.4087
Se: 0.3399 0.3399 0.9291
Se: 0.6601 0.6601 0.0709
Se: 0.6625 0.6625 0.5913
Se: 0.9952 0.9952 0.2381



VASP calculation (GGA-PBE) on BeCu3Au after structural relaxation.

Properties
- Polymorph energy (0 for the lowest one): 362 meV/atom
- Energy of formation: 0.35 eV per atom
- Raw total energy: -17.519 eV/cell

a b c (Å): 4.0654 4.0654 4.0654
angles (deg): 90.00 90.00 90.00
Fractional positions:
Be: 0.0000 0.0000 0.0000
Cu: 0.0000 0.0000 0.5000
Cu: 0.0000 0.5000 0.0000
Cu: 0.5000 0.0000 0.0000
Au: 0.5000 0.5000 0.5000



VASP calculation (GGA-PBE) on Sm3Er4Th2 after structural relaxation.

Properties
- Polymorph energy (0 for the lowest one): 0 meV/atom
- Energy of formation: 0.00 eV per atom
- Raw total energy: -47.229 eV/cell

a b c (Å): 9.5173 9.5173 9.5217
angles (deg): 115.14 115.14 21.74
Fractional positions:
Sm: 0.0000 0.0000 0.0000
Sm: 0.1488 0.1488 0.6703
Sm: 0.8512 0.8512 0.3297
Er: 0.1849 0.1849 0.3319
Er: 0.4816 0.4816 0.6691
Er: 0.5184 0.5184 0.3309
Er: 0.8151 0.8151 0.6681
Th: 0.3321 0.3321 0.9986
Th: 0.6679 0.6679 0.0014



VASP calculation (GGA-PBE) on DyGa8Ir2 after structural relaxation.

Properties
- Energy of formation: -0.21 eV per atom
- Raw total energy: -48.841 eV/cell

a b c (Å): 6.2897 6.2897 5.3408
angles (deg): 90.00 90.00 90.00
Fractional positions:
Dy: 0.0000 0.0000 0.0000
Ga: 0.2890 0.2890 0.2474
Ga: 0.2890 0.2890 0.7526
Ga: 0.2890 0.7110 0.2474
Ga: 0.2890 0.7110 0.7526
Ga: 0.7110 0.2890 0.2474
Ga: 0.7110 0.2890 0.7526
Ga: 0.7110 0.7110 0.2474
Ga: 0.7110 0.7110 0.7526
Ir: 0.0000 0.5000 0.5000
Ir: 0.5000 0.0000 0.5000



VASP calculation (GGA-PBE) on Ac3ErSb4 after structural relaxation.

Properties
- Polymorph energy (0 for the lowest one): 0 meV/atom
- Raw total energy: -85.168 eV/cell
- Energy relative to the elements, uncorrected: -1150.8 meV/atom

a b c (Å): 8.1264 9.4052 8.1348
angles (deg): 90.00 109.54 90.00
Fractional positions:
Ac: 0.0000 0.1235 0.2500
Ac: 0.0000 0.3719 0.7500
Ac: 0.0000 0.6281 0.2500
Ac: 0.0000 0.8765 0.7500
Ac: 0.5000 0.3728 0.2500
Ac: 0.5000 0.6272 0.7500
Er: 0.5000 0.1230 0.7500
Er: 0.5000 0.8770 0.2500
Sb: 0.2580 0.3660 0.5094
Sb: 0.2580 0.6340 0.0094
Sb: 0.2680 0.1155 0.9992
Sb: 0.2680 0.8845 0.4992
Sb: 0.7320 0.1155 0.5008
Sb: 0.7320 0.8845 0.0008
Sb: 0.7420 0.3660 0.9906
Sb: 0.7420 0.6340 0.4906



no.,magnetization (μB per formula unit)
1,0.00
2,2.29
3,0.00
4,0.00
5,0.00
6,0.00
7,0.00
8,0.00